No. 1
# AlV2Cr

A geometry-optimized AlV2Cr structure (GGA-PBE, Alexandria).

Cell lengths 6.720, 6.720, 5.390 Å; angles 51.44, 51.44, 90.00 degrees
Element x y z (fractional)
Cr  0.000  0.000  0.000
Cr  0.750  0.250  0.500
Al  0.500  0.500  0.000
Al  0.250  0.750  0.500
V  0.664  0.125  0.250
V  0.086  0.625  0.250
V  0.375  0.336  0.750
V  0.875  0.914  0.750

- DFT formation energy (eV/atom) = 0.422
- E (Ry per atom) = -0.550

---

No. 2
# KBeAg2

A geometry-optimized KBeAg2 structure (GGA-PBE, Alexandria).

Cell lengths 5.960, 5.960, 5.960 Å; angles 150.74, 122.47, 65.84 degrees
Element x y z (fractional)
Be  0.750  0.250  0.500
K  0.250  0.750  0.500
Ag  0.933  0.933  0.000
Ag  0.567  0.567  0.000

- DFT formation energy (eV/atom) = 0.368
- E (Ry per atom) = -0.166

---

No. 3
# Sm2Mg17

A geometry-optimized Sm2Mg17 structure (GGA-PBE, Alexandria).

Cell lengths 7.802, 7.802, 7.802 Å; angles 82.19, 82.19, 82.19 degrees
Element x y z (fractional)
Sm  0.329  0.329  0.329
Sm  0.671  0.671  0.671
Mg  0.647  0.647  0.160
Mg  0.160  0.647  0.647
Mg  0.901  0.901  0.901
Mg  0.099  0.099  0.099
Mg  0.000  0.000  0.500
Mg  0.000  0.500  0.000
Mg  0.500  0.000  0.000
Mg  0.301  0.699  0.000
Mg  0.699  0.000  0.301
Mg  0.000  0.301  0.699
Mg  0.699  0.301  0.000
Mg  0.301  0.000  0.699
Mg  0.000  0.699  0.301
Mg  0.840  0.353  0.353
Mg  0.353  0.353  0.840
Mg  0.353  0.840  0.353
Mg  0.647  0.160  0.647

- DFT formation energy (eV/atom) = -0.042
- E (Ry per atom) = -0.144

---

No. 4
# Ce6Ga2C

A geometry-optimized Ce6Ga2C structure (GGA-PBE, Alexandria).

Cell lengths 6.429, 6.428, 10.105 Å; angles 90.00, 90.00, 90.00 degrees
Each line ends with the local moment (μB).
Element x y z (fractional)
Ce  0.000  0.000  0.265  0.24
Ce  0.725  0.725  0.500  0.23
Ce  0.775  0.775  0.000  0.23
Ce  0.725  0.275  0.500  0.23
Ce  0.775  0.225  0.000  0.23
Ce  0.500  0.500  0.235  0.24
Ce  0.000  0.000  0.735  0.24
Ce  0.275  0.275  0.500  0.23
Ce  0.225  0.225  0.000  0.23
Ce  0.275  0.725  0.500  0.23
Ce  0.225  0.775  0.000  0.23
Ce  0.500  0.500  0.765  0.24
Ga  0.000  0.500  0.750  -0.01
Ga  0.500  0.000  0.750  -0.01
Ga  0.500  0.000  0.250  -0.01
Ga  0.000  0.500  0.250  -0.01
C  0.500  0.500  0.000  -0.01
C  0.000  0.000  0.500  -0.01

- DFT formation energy (eV/atom) = -0.289
- E (Ry per atom) = -0.437

---

No. 5
# Li2Cu7

A geometry-optimized Li2Cu7 structure (GGA-PBE, Alexandria).

Cell lengths 4.853, 4.853, 12.549 Å; angles 78.85, 78.85, 60.00 degrees
Element x y z (fractional)
Li  0.055  0.055  0.835
Li  0.945  0.945  0.165
Li  0.152  0.152  0.544
Li  0.848  0.848  0.456
Cu  0.500  0.500  0.500
Cu  0.277  0.277  0.168
Cu  0.723  0.723  0.832
Cu  0.389  0.389  0.832
Cu  0.611  0.611  0.168
Cu  0.500  0.000  0.000
Cu  0.000  0.500  0.000
Cu  0.500  0.500  0.000
Cu  0.613  0.613  0.664
Cu  0.613  0.110  0.664
Cu  0.110  0.613  0.664
Cu  0.387  0.387  0.336
Cu  0.387  0.890  0.336
Cu  0.890  0.387  0.336

- DFT formation energy (eV/atom) = -0.008
- E (Ry per atom) = -0.266

---

No. 6
# HoSn3Pd7

A geometry-optimized HoSn3Pd7 structure (GGA-PBE, Alexandria).

Cell lengths 5.568, 6.464, 6.464 Å; angles 97.87, 104.83, 104.83 degrees
Element x y z (fractional)
Ho  0.500  0.500  0.500
Sn  0.000  0.770  0.230
Sn  0.500  0.000  0.000
Sn  0.000  0.230  0.770
Pd  0.049  0.188  0.188
Pd  0.317  0.054  0.592
Pd  0.683  0.408  0.946
Pd  0.317  0.592  0.054
Pd  0.000  0.500  0.500
Pd  0.683  0.946  0.408
Pd  0.951  0.812  0.812

- DFT formation energy (eV/atom) = -0.503
- E (Ry per atom) = -0.391

---

No. 7
# Er7Ga2Sn2

A geometry-optimized Er7Ga2Sn2 structure (GGA-PBE, Alexandria).

Cell lengths 6.787, 7.178, 6.787 Å; angles 90.00, 107.70, 90.00 degrees
Element x y z (fractional)
Er  0.000  0.274  0.500
Er  0.500  0.726  0.000
Er  0.000  0.726  0.500
Er  0.500  0.274  0.000
Er  0.000  0.000  0.000
Er  0.500  0.755  0.500
Er  0.500  0.245  0.500
Ga  0.713  0.000  0.287
Ga  0.287  0.000  0.713
Sn  0.819  0.500  0.819
Sn  0.181  0.500  0.181

- DFT formation energy (eV/atom) = -0.264
- E (Ry per atom) = -0.327

---

No. 8
# LaReSb

A geometry-optimized LaReSb structure (GGA-PBE, Alexandria).

Cell lengths 5.001, 5.001, 5.001 Å; angles 60.00, 60.00, 60.00 degrees
Each line ends with the local moment (μB).
Element x y z (fractional)
La  0.750  0.750  0.750  0.02
Re  0.000  0.000  0.000  1.32
Sb  0.500  0.500  0.500  -0.01

- raw formation energy (eV/atom) = 1.1734
- E (Ry per atom) = -0.440